[1]
# PBE-GGA TlCd2SbRh, optimized geometry
data_TlCd2SbRh
_chemical_formula_sum 'Tl1 Cd2 Sb1 Rh1'
_space_group_name_H-M_alt 'P 1'
_space_group_IT_number 1
_space_group_name_Hall 'P 1'
_cell_length_a 5.278
_cell_length_b 5.278
_cell_length_c 4.962
_cell_angle_alpha 90.00
_cell_angle_beta 90.00
_cell_angle_gamma 90.00
loop_
_atom_site_label
_atom_site_type_symbol
_atom_site_fract_x
_atom_site_fract_y
_atom_site_fract_z
Rh1 Rh 0.000 0.000 0.000
Tl1 Tl 0.500 0.500 0.500
Sb1 Sb 0.000 0.000 0.500
Cd1 Cd 0.500 0.000 0.000
Cd2 Cd 0.000 0.500 0.000
# ΔE_f (raw) = -0.10 eV per formula unit


[2]
# PBE-GGA Y2CdSbRh, optimized geometry
data_Y2CdSbRh
_chemical_formula_sum 'Y2 Cd1 Sb1 Rh1'
_space_group_name_H-M_alt 'P 1'
_space_group_IT_number 1
_space_group_name_Hall 'P 1'
_cell_length_a 5.341
_cell_length_b 5.004
_cell_length_c 5.341
_cell_angle_alpha 90.00
_cell_angle_beta 90.00
_cell_angle_gamma 90.00
loop_
_atom_site_label
_atom_site_type_symbol
_atom_site_fract_x
_atom_site_fract_y
_atom_site_fract_z
Sb1 Sb 0.000 0.500 0.000
Y1 Y 0.000 0.000 0.500
Rh1 Rh 0.000 0.000 0.000
Y2 Y 0.500 0.000 0.000
Cd1 Cd 0.500 0.500 0.500
# ΔE_f (raw) = -1.89 eV per formula unit


[3]
# PBE-GGA Sc6CdRh2, optimized geometry
data_Sc6CdRh2
_chemical_formula_sum 'Sc12 Cd2 Rh4'
_space_group_name_H-M_alt 'P 1'
_space_group_IT_number 1
_space_group_name_Hall 'P 1'
_cell_length_a 7.941
_cell_length_b 7.941
_cell_length_c 7.941
_cell_angle_alpha 103.85
_cell_angle_beta 111.94
_cell_angle_gamma 112.76
loop_
_atom_site_label
_atom_site_type_symbol
_atom_site_fract_x
_atom_site_fract_y
_atom_site_fract_z
Cd1 Cd 0.000 0.000 0.000
Sc1 Sc 0.205 0.760 0.965
Rh1 Rh 0.663 0.000 0.663
Sc2 Sc 0.101 0.287 0.814
Sc3 Sc 0.795 0.240 0.035
Sc4 Sc 0.298 0.624 0.326
Sc5 Sc 0.205 0.240 0.444
Rh2 Rh 0.500 0.364 0.864
Sc6 Sc 0.702 0.376 0.674
Sc7 Sc 0.298 0.972 0.674
Sc8 Sc 0.702 0.028 0.326
Cd2 Cd 0.000 0.500 0.500
Rh3 Rh 0.337 0.000 0.337
Sc9 Sc 0.899 0.713 0.186
Sc10 Sc 0.795 0.760 0.556
Rh4 Rh 0.500 0.636 0.136
Sc11 Sc 0.527 0.713 0.814
Sc12 Sc 0.473 0.287 0.186
# ΔE_f = -527 meV per atom


[4]
# PBE-GGA Sc11Cd9Rh4, optimized geometry
data_Sc11Cd9Rh4
_chemical_formula_sum 'Sc11 Cd9 Rh4'
_space_group_name_H-M_alt 'P 1'
_space_group_IT_number 1
_space_group_name_Hall 'P 1'
_cell_length_a 3.387
_cell_length_b 12.568
_cell_length_c 12.568
_cell_angle_alpha 112.56
_cell_angle_beta 90.00
_cell_angle_gamma 90.00
loop_
_atom_site_label
_atom_site_type_symbol
_atom_site_fract_x
_atom_site_fract_y
_atom_site_fract_z
Sc1 Sc 0.000 0.915 0.581
Sc2 Sc 0.000 0.637 0.363
Cd1 Cd 0.500 0.365 0.854
Sc3 Sc 0.000 0.299 0.299
Rh1 Rh 0.500 0.454 0.257
Sc4 Sc 0.000 0.000 0.000
Cd2 Cd 0.500 0.500 0.500
Cd3 Cd 0.500 0.635 0.146
Sc5 Sc 0.000 0.419 0.085
Rh2 Rh 0.500 0.257 0.454
Cd4 Cd 0.500 0.214 0.067
Cd5 Cd 0.500 0.854 0.365
Cd6 Cd 0.500 0.786 0.933
Cd7 Cd 0.500 0.067 0.214
Rh3 Rh 0.500 0.546 0.743
Sc6 Sc 0.000 0.159 0.841
Sc7 Sc 0.000 0.363 0.637
Sc8 Sc 0.000 0.701 0.701
Sc9 Sc 0.000 0.841 0.159
Sc10 Sc 0.000 0.581 0.915
Cd8 Cd 0.500 0.933 0.786
Cd9 Cd 0.500 0.146 0.635
Sc11 Sc 0.000 0.085 0.419
Rh4 Rh 0.500 0.743 0.546
# ΔE_f = -515 meV per atom


[5]
# PBE-GGA Sc6CdRh, optimized geometry
data_Sc6CdRh
_chemical_formula_sum 'Sc6 Cd1 Rh1'
_space_group_name_H-M_alt 'P 1'
_space_group_IT_number 1
_space_group_name_Hall 'P 1'
_cell_length_a 6.211
_cell_length_b 6.211
_cell_length_c 6.205
_cell_angle_alpha 102.77
_cell_angle_beta 102.77
_cell_angle_gamma 117.29
loop_
_atom_site_label
_atom_site_type_symbol
_atom_site_fract_x
_atom_site_fract_y
_atom_site_fract_z
Sc1 Sc 0.080 0.489 0.257
Sc2 Sc 0.489 0.080 0.257
Sc3 Sc 0.270 0.270 0.727
Cd1 Cd 0.000 0.000 0.000
Sc4 Sc 0.920 0.511 0.743
Sc5 Sc 0.511 0.920 0.743
Rh1 Rh 0.500 0.500 0.500
Sc6 Sc 0.730 0.730 0.273
# ΔE_f = -61 meV per atom


[6]
# PBE-GGA ScCd2Rh2, optimized geometry
data_ScCd2Rh2
_chemical_formula_sum 'Sc2 Cd4 Rh4'
_space_group_name_H-M_alt 'P 1'
_space_group_IT_number 1
_space_group_name_Hall 'P 1'
_cell_length_a 6.777
_cell_length_b 6.777
_cell_length_c 4.087
_cell_angle_alpha 90.00
_cell_angle_beta 90.00
_cell_angle_gamma 90.00
loop_
_atom_site_label
_atom_site_type_symbol
_atom_site_fract_x
_atom_site_fract_y
_atom_site_fract_z
Sc1 Sc 0.000 0.000 0.000
Cd1 Cd 0.661 0.839 0.500
Cd2 Cd 0.339 0.161 0.500
Rh1 Rh 0.861 0.639 0.000
Cd3 Cd 0.161 0.661 0.500
Rh2 Rh 0.361 0.861 0.000
Rh3 Rh 0.639 0.139 0.000
Cd4 Cd 0.839 0.339 0.500
Sc2 Sc 0.500 0.500 0.000
Rh4 Rh 0.139 0.361 0.000
# ΔE_f = -354 meV per atom